# 1
Below is crystalline CaTeAuSeS at its relaxed geometry, with properties calculated at the PBE level.

The structure belongs to space group P1 (No. 1); the cell edges are 4.175, 4.457 and 7.110 Å and the angles 94.55°, 102.87° and 93.49°. The distinct sites, in fractional coordinates, are Ca at (0.000, 0.000, 0.000), Te at (0.003, 0.757, 0.543), Au at (0.501, 0.290, 0.578), Se at (0.474, 0.483, 0.916) and S at (0.618, 0.031, 0.296).

The value obtained for the size of the total moment is 0.000 μB/atom. For the volume, the calculation gives 128 Å³/cell. For the relative energy among the computed polymorphs, the calculation gives 0.28 eV/f.u. The calculation puts the uncorrected formation energy at -0.7016 eV/atom. For the theoretical density, the calculation gives 6.16 Mg/m³. The value obtained for the density of states at the Fermi level is 0.206 states/eV/atom.

# 2
Below is crystalline Nd4Y4Tm at its relaxed geometry, with properties calculated at the PBE level.

The structure belongs to space group P-1 (No. 2); the cell edges are 5.119, 6.229 and 10.839 Å and the angles 73.43°, 89.93° and 65.80°. The distinct sites, in fractional coordinates, are Nd at (0.001, 0.499, 0.168), Nd at (0.333, 0.834, 0.610), Y at (0.333, 0.833, 0.278), Y at (0.334, 0.832, 0.945) and Tm at (0.000, 0.500, 0.500).

The value obtained for the size of the total moment is 0.000 μB/atom. For the calculated formation energy, the calculation gives 17.3 meV per atom. For the volume, the calculation gives 299 Å³/cell. For the relative energy among the computed polymorphs, the calculation gives 0.00 eV/f.u. For the theoretical density, the calculation gives 6.11 Mg/m³. The value obtained for the density of states at the Fermi level is 1.446 states/eV/atom.